No. 1
A relaxed structure of Al2TcRu. Source: Alexandria, functional GGA-PBE.

Cell and atoms, written as POSCAR:
```
Al2TcRu
1.0
3.626 0.000 0.000
0.000 3.626 0.000
0.000 0.000 8.687
Al Tc Ru
4 2 2
Direct
0.000 0.000 0.000
0.000 0.500 0.250
0.500 0.000 0.750
0.500 0.500 0.500
0.000 0.000 0.500
0.500 0.500 0.000
0.000 0.500 0.750
0.500 0.000 0.250
```

Calculated values
- ΔH_f (0 K) (meV/atom) = -254
- E above lowest polymorph (eV per atom) = 0.2081
- ρ (g/cm³) = 7.36
- magnetic moment (μB/f.u.) = 0.00

---

No. 2
A relaxed structure of Al2TcRu. Source: Alexandria, functional GGA-PBE.

Cell and atoms, written as POSCAR:
```
Al2TcRu
1.0
2.851 0.000 0.000
-1.425 2.469 0.000
0.000 0.000 24.627
Al Tc Ru
6 3 3
Direct
0.000 0.000 0.248
0.000 0.000 0.752
0.333 0.667 0.419
0.333 0.667 0.915
0.667 0.333 0.085
0.667 0.333 0.581
0.000 0.000 0.000
0.333 0.667 0.667
0.667 0.333 0.333
0.000 0.000 0.500
0.333 0.667 0.167
0.667 0.333 0.833
```

Calculated values
- ΔH_f (0 K) (meV/atom) = -268
- E above lowest polymorph (eV per atom) = 0.1945
- ρ (g/cm³) = 7.27
- magnetic moment (μB/f.u.) = 0.27

---

No. 3
A relaxed structure of AlTcRu3. Source: Alexandria, functional GGA-PBE.

Cell and atoms, written as POSCAR:
```
AlTcRu3
1.0
4.611 0.000 0.000
0.000 4.611 0.000
0.000 0.000 4.611
Al Tc Ru
1 1 3
Direct
0.000 0.000 0.000
0.500 0.500 0.500
0.000 0.500 0.500
0.500 0.000 0.500
0.500 0.500 0.000
```

Calculated values
- ΔH_f (0 K) (meV/atom) = 1479
- E above lowest polymorph (eV per atom) = 0.1889
- ρ (g/cm³) = 7.25
- magnetic moment (μB/f.u.) = 0.00

---

No. 4
A relaxed structure of AlTcRu4. Source: Alexandria, functional GGA-PBE.

Cell and atoms, written as POSCAR:
```
AlTcRu4
1.0
0.000 3.562 3.562
3.562 0.000 3.562
3.562 3.562 0.000
Al Tc Ru
1 1 4
Direct
0.000 0.000 0.000
0.750 0.750 0.750
0.375 0.375 0.375
0.375 0.375 0.876
0.375 0.876 0.375
0.876 0.375 0.375
```

Calculated values
- ΔH_f (0 K) (meV/atom) = 345
- ρ (g/cm³) = 9.72
- magnetic moment (μB/f.u.) = 0.00

---

No. 5
A relaxed structure of AlTcRu3. Source: Alexandria, functional GGA-PBE.

Cell and atoms, written as POSCAR:
```
AlTcRu3
1.0
4.326 0.000 0.000
0.000 4.326 0.000
0.000 0.000 4.326
Al Tc Ru
1 1 3
Direct
0.000 0.000 0.000
0.500 0.500 0.500
0.000 0.000 0.500
0.000 0.500 0.000
0.500 0.000 0.000
```

Calculated values
- ΔH_f (0 K) (meV/atom) = 1290
- E above lowest polymorph (eV per atom) = 0.0000
- ρ (g/cm³) = 8.78
- magnetic moment (μB/f.u.) = 0.00

---

No. 6
A relaxed structure of Al2TcRu. Source: Alexandria, functional GGA-PBE.

Cell and atoms, written as POSCAR:
```
Al2TcRu
1.0
3.018 0.000 0.000
0.000 4.679 0.000
0.000 0.000 8.158
Al Tc Ru
4 2 2
Direct
0.000 0.000 0.248
0.000 0.000 0.752
0.500 0.500 0.252
0.500 0.500 0.748
0.000 0.500 0.000
0.500 0.000 0.500
0.000 0.500 0.500
0.500 0.000 0.000
```

Calculated values
- ΔH_f (0 K) (meV/atom) = -245
- E above lowest polymorph (eV per atom) = 0.2170
- ρ (g/cm³) = 7.30
- magnetic moment (μB/f.u.) = 0.00

---

No. 7
A relaxed structure of Al2TcRu. Source: Alexandria, functional GGA-PBE.

Cell and atoms, written as POSCAR:
```
Al2TcRu
1.0
6.056 0.000 0.000
0.000 6.056 0.000
0.000 0.000 6.056
Al Tc Ru
8 4 4
Direct
0.250 0.250 0.250
0.250 0.250 0.750
0.250 0.750 0.250
0.250 0.750 0.750
0.750 0.250 0.250
0.750 0.250 0.750
0.750 0.750 0.250
0.750 0.750 0.750
0.000 0.000 0.000
0.000 0.500 0.500
0.500 0.000 0.500
0.500 0.500 0.000
0.000 0.000 0.500
0.000 0.500 0.000
0.500 0.000 0.000
0.500 0.500 0.500
```

Calculated values
- ΔH_f (0 K) (meV/atom) = -448
- E above lowest polymorph (eV per atom) = 0.0139
- ρ (g/cm³) = 7.57
- magnetic moment (μB/f.u.) = 0.00

---

No. 8
A relaxed structure of Al2TcRu. Source: Alexandria, functional GGA-PBE.

Cell and atoms, written as POSCAR:
```
Al2TcRu
1.0
2.836 0.000 0.000
0.000 2.836 0.000
0.000 0.000 7.444
Al Tc Ru
2 1 1
Direct
0.000 0.000 0.000
0.500 0.500 0.302
0.500 0.500 0.759
0.000 0.000 0.531
```

Calculated values
- ΔH_f (0 K) (meV/atom) = -234
- E above lowest polymorph (eV per atom) = 0.2284
- ρ (g/cm³) = 7.02
- magnetic moment (μB/f.u.) = 0.00

---

No. 9
A relaxed structure of Al2TcRu. Source: Alexandria, functional GGA-PBE.

Cell and atoms, written as POSCAR:
```
Al2TcRu
1.0
9.500 0.000 0.000
0.000 2.969 0.000
-1.416 0.000 4.034
Al Tc Ru
4 2 2
Direct
0.000 0.000 0.000
0.227 0.000 0.677
0.500 0.500 0.000
0.727 0.500 0.677
0.479 0.000 0.487
0.979 0.500 0.487
0.242 0.500 0.184
0.742 0.000 0.184
```

Calculated values
- ΔH_f (0 K) (meV/atom) = -409
- E above lowest polymorph (eV per atom) = 0.0534
- ρ (g/cm³) = 7.38
- magnetic moment (μB/f.u.) = 0.00

---

No. 10
A relaxed structure of Al2TcRu. Source: Alexandria, functional GGA-PBE.

Cell and atoms, written as POSCAR:
```
Al2TcRu
1.0
3.107 0.000 0.000
0.000 3.107 0.000
0.000 0.000 5.868
Al Tc Ru
2 1 1
Direct
0.000 0.000 0.000
0.500 0.500 0.266
0.500 0.500 0.774
0.000 0.000 0.486
```

Calculated values
- ΔH_f (0 K) (meV/atom) = -357
- E above lowest polymorph (eV per atom) = 0.1054
- ρ (g/cm³) = 7.42
- magnetic moment (μB/f.u.) = 0.00

---

No. 11
A relaxed structure of Al2TcRu. Source: Alexandria, functional GGA-PBE.

Cell and atoms, written as POSCAR:
```
Al2TcRu
1.0
6.117 0.000 0.000
0.000 6.117 0.000
0.000 0.000 6.117
Al Tc Ru
8 4 4
Direct
0.000 0.000 0.000
0.000 0.500 0.500
0.250 0.250 0.250
0.250 0.750 0.750
0.500 0.000 0.500
0.500 0.500 0.000
0.750 0.250 0.750
0.750 0.750 0.250
0.000 0.000 0.500
0.000 0.500 0.000
0.500 0.000 0.000
0.500 0.500 0.500
0.250 0.250 0.750
0.250 0.750 0.250
0.750 0.250 0.250
0.750 0.750 0.750
```

Calculated values
- ΔH_f (0 K) (meV/atom) = -181
- E above lowest polymorph (eV per atom) = 0.2808
- ρ (g/cm³) = 7.34
- magnetic moment (μB/f.u.) = 0.00

---

No. 12
A relaxed structure of Al2TcRu. Source: Alexandria, functional GGA-PBE.

Cell and atoms, written as POSCAR:
```
Al2TcRu
1.0
4.195 0.000 0.000
0.000 2.933 0.000
0.000 0.000 9.292
Al Tc Ru
4 2 2
Direct
0.000 0.000 0.000
0.000 0.500 0.500
0.500 0.000 0.180
0.500 0.500 0.680
0.500 0.000 0.447
0.500 0.500 0.947
0.000 0.000 0.730
0.000 0.500 0.230
```

Calculated values
- ΔH_f (0 K) (meV/atom) = -333
- E above lowest polymorph (eV per atom) = 0.1295
- ρ (g/cm³) = 7.35
- magnetic moment (μB/f.u.) = 0.41

---

No. 13
A relaxed structure of Al2TcRu. Source: Alexandria, functional GGA-PBE.

Cell and atoms, written as POSCAR:
```
Al2TcRu
1.0
6.661 0.000 0.000
0.000 6.661 0.000
0.000 0.000 5.571
Al Tc Ru
8 4 4
Direct
0.242 0.250 0.125
0.250 0.742 0.375
0.250 0.758 0.875
0.258 0.250 0.625
0.742 0.750 0.625
0.750 0.242 0.875
0.750 0.258 0.375
0.758 0.750 0.125
0.000 0.000 0.500
0.000 0.500 0.750
0.500 0.000 0.250
0.500 0.500 0.000
0.000 0.000 0.000
0.000 0.500 0.250
0.500 0.000 0.750
0.500 0.500 0.500
```

Calculated values
- ΔH_f (0 K) (meV/atom) = 226
- E above lowest polymorph (eV per atom) = 0.6884
- ρ (g/cm³) = 6.80
- magnetic moment (μB/f.u.) = 0.00

---

No. 14
A relaxed structure of Al2TcRu. Source: Alexandria, functional GGA-PBE.

Cell and atoms, written as POSCAR:
```
Al2TcRu
1.0
3.037 0.000 0.000
0.000 4.056 0.000
0.000 0.000 4.670
Al Tc Ru
2 1 1
Direct
0.000 0.000 0.000
0.500 0.000 0.500
0.000 0.500 0.500
0.500 0.500 0.000
```

Calculated values
- ΔH_f (0 K) (meV/atom) = -255
- E above lowest polymorph (eV per atom) = 0.2076
- ρ (g/cm³) = 7.30
- magnetic moment (μB/f.u.) = 0.00

---

No. 15
A relaxed structure of AlTcTe2Ru. Source: Alexandria, functional GGA-PBE.

Cell and atoms, written as POSCAR:
```
AlTcTe2Ru
1.0
5.211 0.000 0.000
0.000 5.211 0.000
0.000 0.000 4.690
Al Tc Te Ru
1 1 2 1
Direct
0.000 0.000 0.000
0.500 0.500 0.500
0.000 0.500 0.500
0.500 0.000 0.500
0.500 0.500 0.000
```

Calculated values
- ρ (g/cm³) = 6.27
- magnetic moment (μB/f.u.) = 0.00
- E (eV/cell) = -24.8

---

No. 16
A relaxed structure of AlVTcRu. Source: Alexandria, functional GGA-PBE.

Cell and atoms, written as POSCAR:
```
AlVTcRu
1.0
3.015 0.000 0.000
0.000 3.015 0.000
0.000 0.000 6.079
Al V Tc Ru
1 1 1 1
Direct
0.000 0.000 0.000
0.000 0.000 0.498
0.500 0.500 0.739
0.500 0.500 0.251
```

Calculated values
- ΔH_f (0 K) (meV/atom) = -478
- E above lowest polymorph (eV per atom) = 0.0149
- ρ (g/cm³) = 8.32
- magnetic moment (μB/f.u.) = 0.00

---

No. 17
A relaxed structure of AlVTcRu. Source: Alexandria, functional GGA-PBE.

Cell and atoms, written as POSCAR:
```
AlVTcRu
1.0
6.041 0.000 0.000
0.000 6.041 0.000
0.000 0.000 6.041
Al V Tc Ru
4 4 4 4
Direct
0.000 0.000 0.000
0.000 0.500 0.500
0.500 0.000 0.500
0.500 0.500 0.000
0.000 0.000 0.500
0.000 0.500 0.000
0.500 0.000 0.000
0.500 0.500 0.500
0.250 0.250 0.750
0.250 0.750 0.250
0.750 0.250 0.250
0.750 0.750 0.750
0.250 0.250 0.250
0.250 0.750 0.750
0.750 0.250 0.750
0.750 0.750 0.250
```

Calculated values
- ΔH_f (0 K) (meV/atom) = -493
- E above lowest polymorph (eV per atom) = 0.0000
- ρ (g/cm³) = 8.34
- magnetic moment (μB/f.u.) = 0.00

---

No. 18
A relaxed structure of AlTcRuW. Source: Alexandria, functional GGA-PBE.

Cell and atoms, written as POSCAR:
```
AlTcRuW
1.0
6.156 0.000 0.000
0.000 6.156 0.000
0.000 0.000 6.156
Al Tc Ru W
4 4 4 4
Direct
0.000 0.000 0.000
0.000 0.500 0.500
0.500 0.000 0.500
0.500 0.500 0.000
0.250 0.250 0.250
0.250 0.750 0.750
0.750 0.250 0.750
0.750 0.750 0.250
0.250 0.250 0.750
0.250 0.750 0.250
0.750 0.250 0.250
0.750 0.750 0.750
0.000 0.000 0.500
0.000 0.500 0.000
0.500 0.000 0.000
0.500 0.500 0.500
```

Calculated values
- ΔH_f (0 K) (meV/atom) = -380
- ρ (g/cm³) = 11.67
- magnetic moment (μB/f.u.) = 0.00

---

No. 19
A relaxed structure of AlTc2RuW. Source: Alexandria, functional GGA-PBE.

Cell and atoms, written as POSCAR:
```
AlTc2RuW
1.0
4.626 0.000 0.000
0.000 4.626 0.000
0.000 0.000 4.741
Al Tc Ru W
1 2 1 1
Direct
0.000 0.000 0.000
0.000 0.500 0.500
0.500 0.000 0.500
0.500 0.500 0.000
0.000 0.000 0.500
```

Calculated values
- ΔH_f (0 K) (meV/atom) = 1831
- ρ (g/cm³) = 8.31
- magnetic moment (μB/f.u.) = 2.35

---

No. 20
A relaxed structure of Al2TeRu. Source: Alexandria, functional GGA-PBE.

Cell and atoms, written as POSCAR:
```
Al2TeRu
1.0
8.524 0.000 0.000
0.000 3.327 0.000
-1.226 0.000 5.212
Al Te Ru
4 2 2
Direct
0.230 0.000 0.177
0.270 0.500 0.823
0.730 0.500 0.177
0.770 0.000 0.823
0.000 0.000 0.500
0.500 0.500 0.500
0.000 0.500 0.000
0.500 0.000 0.000
```

Calculated values
- ρ (g/cm³) = 6.35
- magnetic moment (μB/f.u.) = 0.00
- E (eV/cell) = -39.9

---

No. 21
A relaxed structure of Al2TeRu. Source: Alexandria, functional GGA-PBE.

Cell and atoms, written as POSCAR:
```
Al2TeRu
1.0
3.238 0.000 0.000
-1.619 2.804 0.000
0.000 0.000 24.794
Al Te Ru
6 3 3
Direct
0.000 0.000 0.000
0.000 0.000 0.249
0.333 0.667 0.667
0.333 0.667 0.916
0.667 0.333 0.333
0.667 0.333 0.582
0.000 0.000 0.766
0.333 0.667 0.432
0.667 0.333 0.099
0.000 0.000 0.510
0.333 0.667 0.176
0.667 0.333 0.843
```

Calculated values
- ρ (g/cm³) = 6.25
- magnetic moment (μB/f.u.) = 0.00
- E (eV/cell) = -58.5

---

No. 22
A relaxed structure of AlTe2Ru. Source: Alexandria, functional GGA-PBE.

Cell and atoms, written as POSCAR:
```
AlTe2Ru
1.0
4.870 0.000 0.000
0.000 10.560 0.000
0.000 0.000 4.042
Al Te Ru
2 4 2
Direct
0.000 0.000 0.000
0.500 0.500 0.000
0.000 0.339 0.500
0.000 0.661 0.500
0.500 0.161 0.500
0.500 0.839 0.500
0.000 0.500 0.000
0.500 0.000 0.000
```

Calculated values
- ρ (g/cm³) = 6.12
- magnetic moment (μB/f.u.) = 0.00
- E (eV/cell) = -39.2

---

No. 23
A relaxed structure of AlTeRu. Source: Alexandria, functional GGA-PBE.

Cell and atoms, written as POSCAR:
```
AlTeRu
1.0
6.152 0.000 0.000
0.000 6.152 0.000
0.000 0.000 6.152
Al Te Ru
4 4 4
Direct
0.000 0.000 0.000
0.000 0.500 0.500
0.500 0.000 0.500
0.500 0.500 0.000
0.000 0.000 0.500
0.000 0.500 0.000
0.500 0.000 0.000
0.500 0.500 0.500
0.250 0.250 0.250
0.250 0.750 0.750
0.750 0.250 0.750
0.750 0.750 0.250
```

Calculated values
- E above lowest polymorph (eV per atom) = 0.0000
- ρ (g/cm³) = 7.29
- magnetic moment (μB/f.u.) = 0.00

---

No. 24
A relaxed structure of Al2TeRu. Source: Alexandria, functional GGA-PBE.

Cell and atoms, written as POSCAR:
```
Al2TeRu
1.0
4.267 0.000 0.000
0.000 4.014 0.000
0.000 0.000 10.111
Al Te Ru
4 2 2
Direct
0.000 0.000 0.000
0.000 0.500 0.500
0.500 0.000 0.495
0.500 0.500 0.995
0.500 0.000 0.791
0.500 0.500 0.291
0.000 0.000 0.625
0.000 0.500 0.125
```

Calculated values
- ρ (g/cm³) = 5.42
- magnetic moment (μB/f.u.) = 0.00
- E (eV/cell) = -41.1

---

No. 25
A relaxed structure of Al2TeRu. Source: Alexandria, functional GGA-PBE.

Cell and atoms, written as POSCAR:
```
Al2TeRu
1.0
3.040 0.000 0.000
0.000 3.077 0.000
0.000 0.000 8.233
Al Te Ru
2 1 1
Direct
0.000 0.000 0.169
0.000 0.000 0.831
0.000 0.500 0.500
0.500 0.500 0.000
```

Calculated values
- ρ (g/cm³) = 6.09
- magnetic moment (μB/f.u.) = 0.00
- E (eV/cell) = -21.2

---

No. 26
A relaxed structure of Al2TeRu. Source: Alexandria, functional GGA-PBE.

Cell and atoms, written as POSCAR:
```
Al2TeRu
1.0
3.432 0.000 0.000
0.000 4.427 0.000
0.000 0.000 4.635
Al Te Ru
2 1 1
Direct
0.000 0.000 0.000
0.500 0.000 0.500
0.000 0.500 0.500
0.500 0.500 0.000
```

Calculated values
- ρ (g/cm³) = 6.66
- magnetic moment (μB/f.u.) = 0.00
- E (eV/cell) = -19.0

---

No. 27
A relaxed structure of AlTeRu3. Source: Alexandria, functional GGA-PBE.

Cell and atoms, written as POSCAR:
```
AlTeRu3
1.0
4.487 0.000 0.000
0.000 4.487 0.000
0.000 0.000 4.487
Al Te Ru
1 1 3
Direct
0.000 0.000 0.000
0.500 0.500 0.500
0.000 0.000 0.500
0.000 0.500 0.000
0.500 0.000 0.000
```

Calculated values
- E above lowest polymorph (eV per atom) = 0.0000
- ρ (g/cm³) = 8.41
- magnetic moment (μB/f.u.) = 0.00

---

No. 28
A relaxed structure of AlTe3Ru. Source: Alexandria, functional GGA-PBE.

Cell and atoms, written as POSCAR:
```
AlTe3Ru
1.0
5.250 0.000 0.000
0.000 5.250 0.000
0.000 0.000 5.250
Al Te Ru
1 3 1
Direct
0.000 0.000 0.000
0.000 0.500 0.500
0.500 0.000 0.500
0.500 0.500 0.000
0.500 0.500 0.500
```

Calculated values
- E above lowest polymorph (eV per atom) = 0.0000
- ρ (g/cm³) = 5.86
- magnetic moment (μB/f.u.) = 0.01

---

No. 29
A relaxed structure of AlTe2Ru. Source: Alexandria, functional GGA-PBE.

Cell and atoms, written as POSCAR:
```
AlTe2Ru
1.0
3.281 0.000 0.000
0.000 3.378 0.000
0.000 0.000 7.554
Al Te Ru
1 2 1
Direct
0.000 0.000 0.000
0.500 0.500 0.283
0.500 0.500 0.717
0.000 0.000 0.500
```

Calculated values
- ρ (g/cm³) = 7.60
- magnetic moment (μB/f.u.) = 0.01
- E (eV/cell) = -18.2

---

No. 30
A relaxed structure of Al2TeRu. Source: Alexandria, functional GGA-PBE.

Cell and atoms, written as POSCAR:
```
Al2TeRu
1.0
5.467 0.000 0.000
0.000 7.794 0.000
0.000 0.000 3.236
Al Te Ru
4 2 2
Direct
0.250 0.250 0.000
0.250 0.750 0.000
0.750 0.250 0.000
0.750 0.750 0.000
0.000 0.000 0.500
0.500 0.500 0.500
0.000 0.500 0.500
0.500 0.000 0.500
```

Calculated values
- ρ (g/cm³) = 6.81
- magnetic moment (μB/f.u.) = 0.00
- E (eV/cell) = -38.9